Record 1
The following is a DFT calculation (GGA-PBE) of a relaxed structure of Y2ScRuCl.

POSCAR file:
```
Y2ScRuCl
1.0
5.3852 0.0000 0.0000
0.0000 4.7525 0.0000
0.0000 0.0000 5.3852
Cl Ru Sc Y
1 1 1 2
direct
0.0000 0.5000 0.0000
0.0000 0.0000 0.0000
0.5000 0.5000 0.5000
0.0000 0.0000 0.5000
0.5000 0.0000 0.0000
```

## Properties
The theoretical density is 4.3 g cm⁻³. The value obtained for the electronic total energy is -5.87 eV/atom. As for the space-group type: P4/mmm. Its raw formation energy is 202.0 meV/atom. The value obtained for the volume is 137.82 Å³ per cell.

Record 2
The following is a DFT calculation (GGA-PBE) of a relaxed structure of K2VBr5.

POSCAR file:
```
K2VBr5
1.0
-0.0986 -0.8875 -6.6607
6.8603 -1.2876 3.4594
-4.1958 -5.2930 4.1544
Br K V
5 2 1
direct
0.4838 0.0281 0.0281
0.1599 0.2904 0.8504
0.6916 0.7791 0.7373
0.2303 0.2764 0.3184
0.0748 0.7652 0.2053
0.6500 0.3331 0.7884
0.5845 0.7228 0.2673
0.1251 0.0278 0.0279
```

## Properties
The theoretical density is 2.8 g cm⁻³. The value obtained for the electronic total energy is -3.74 eV/atom. As for the space-group type: C2. Its raw formation energy is -1281.9 meV/atom. The value obtained for the volume is 314.75 Å³ per cell.

Record 3
The following is a DFT calculation (GGA-PBE) of a relaxed structure of BeGe2BO.

POSCAR file:
```
BeGe2BO
1.0
-0.0862 -3.3074 -3.7207
2.7571 0.5998 -0.5971
1.4585 -3.5748 3.1439
Ge O B Be
2 1 1 1
direct
0.0000 0.0000 0.5000
0.5000 0.0000 0.0000
0.0000 0.5000 0.0000
0.5000 0.5000 0.5000
0.0000 0.0000 0.0000
```

## Properties
The theoretical density is 4.2 g cm⁻³. The value obtained for the electronic total energy is -4.56 eV/atom. As for the space-group type: P4/mmm. Its raw formation energy is 361.6 meV/atom. The value obtained for the volume is 71.50 Å³ per cell.

Record 4
The following is a DFT calculation (GGA-PBE) of a relaxed structure of Sc3PaTc4.

POSCAR file:
```
Sc3PaTc4
1.0
-2.5962 -3.8269 -0.1977
-0.0902 0.2998 -4.6181
6.7654 -1.8972 2.0631
Sc Tc Pa
3 4 1
direct
0.7558 0.2557 0.5116
0.2442 0.7443 0.4884
0.0000 0.5000 0.0000
0.8822 0.8821 0.7645
0.3822 0.3820 0.7645
0.6178 0.6180 0.2355
0.1178 0.1179 0.2355
0.5000 0.0000 0.0000
```

## Properties
The theoretical density is 9.0 g cm⁻³. The energy of formation is -0.311 eV/atom. The value obtained for the electronic total energy is -9.06 eV/atom. As for the space-group type: I4/mmm. The value obtained for the volume is 140.36 Å³ per cell.

Record 5
The following is a DFT calculation (GGA-PBE) of a relaxed structure of TbPuTl2O6.

POSCAR file:
```
TbPuTl2O6
1.0
-4.4530 -2.0627 -3.6808
-0.6142 -6.0225 -0.9945
-4.7803 -3.0280 2.3691
Tl O Pu Tb
2 6 1 1
direct
0.5661 0.5662 0.3016
0.0661 0.0661 0.8016
0.0823 0.0814 0.2858
0.0819 0.5501 0.8172
0.5507 0.0818 0.8173
0.0814 0.5505 0.2858
0.5502 0.5507 0.8173
0.5504 0.0824 0.2858
0.3162 0.3162 0.0515
0.8162 0.8162 0.5515
```

## Properties
The theoretical density is 9.2 g cm⁻³. The value obtained for the electronic total energy is -7.50 eV/atom. As for the space-group type: Fm-3m. Its raw formation energy is -2156.8 meV/atom. The value obtained for the volume is 163.26 Å³ per cell.

Record 6
The following is a DFT calculation (GGA-PBE) of a relaxed structure of Tb2Nd3Ho3.

POSCAR file:
```
Tb2Nd3Ho3
1.0
5.0675 0.0000 0.0000
0.0000 5.0837 0.0000
-2.5338 -2.5419 10.1711
Ho Nd Tb
3 3 2
direct
0.6261 0.6261 0.2522
0.3739 0.3739 0.7478
0.5000 0.0000 0.0000
0.1249 0.1249 0.2497
0.0000 0.5000 0.0000
0.8751 0.8751 0.7503
0.2494 0.7494 0.4988
0.7506 0.2506 0.5012
```

## Properties
The theoretical density is 7.9 g cm⁻³. The energy of formation is 0.020 eV/atom. The value obtained for the electronic total energy is -4.64 eV/atom. As for the space-group type: Immm. The value obtained for the volume is 262.03 Å³ per cell.

Record 7
The following is a DFT calculation (GGA-PBE) of a relaxed structure of PtRhN.

POSCAR file:
```
PtRhN
1.0
-2.2973 -4.1859 -2.8883
2.5643 -0.9584 -0.6507
-0.0140 -2.8139 4.0892
Pt Rh N
2 2 2
direct
0.5000 0.0000 0.5000
0.0000 0.0000 0.5000
0.2500 0.5000 0.9281
0.7500 0.5000 0.0719
0.7500 0.0000 0.7938
0.2500 0.0000 0.2062
```

## Properties
The theoretical density is 13.3 g cm⁻³. The value obtained for the electronic total energy is -6.89 eV/atom. As for the space-group type: Pmma. Its raw formation energy is 345.1 meV/atom. The value obtained for the volume is 77.94 Å³ per cell.

Record 8
The following is a DFT calculation (GGA-PBE) of a relaxed structure of KCrGaTe3.

POSCAR file:
```
KCrGaTe3
1.0
-1.5624 -3.5898 -0.4234
4.5566 -1.0616 -7.8144
6.0454 -3.6326 8.4914
K Te Ga Cr
2 6 2 2
direct
0.2500 0.2309 0.2807
0.7500 0.7691 0.7193
0.2500 0.6600 0.4133
0.7500 0.4181 0.1025
0.2500 0.1353 0.8160
0.7500 0.8647 0.1840
0.2500 0.5819 0.8975
0.7500 0.3400 0.5867
0.2500 0.1111 0.5647
0.7500 0.8889 0.4353
0.2500 0.6419 0.1573
0.7500 0.3581 0.8427
```

## Properties
The theoretical density is 4.9 g cm⁻³. The value obtained for the electronic total energy is -4.31 eV/atom. As for the space-group type: P2_1/m. Its raw formation energy is -446.3 meV/atom. The value obtained for the volume is 371.21 Å³ per cell.

Record 9
The following is a DFT calculation (GGA-PBE) of a relaxed structure of CdFeAg2.

POSCAR file:
```
CdFeAg2
1.0
-0.0233 -4.7563 0.3054
3.9635 -0.1889 -2.6404
1.6977 0.1546 2.5373
Ag Cd Fe
2 1 1
direct
0.0000 0.0000 0.0000
0.5000 0.5000 0.0000
0.5000 0.0000 0.5000
0.0000 0.5000 0.5000
```

## Properties
The theoretical density is 9.2 g cm⁻³. The energy of formation is 0.309 eV/atom. The value obtained for the electronic total energy is -3.46 eV/atom. As for the space-group type: P4/mmm. The value obtained for the volume is 69.44 Å³ per cell.

Record 10
The following is a DFT calculation (GGA-PBE) of a relaxed structure of TiB2Br.

POSCAR file:
```
TiB2Br
1.0
-1.1868 3.1892 2.4990
0.5754 3.9904 -1.2530
-3.3231 2.3822 -1.0520
Ti B Br
1 2 1
direct
0.0000 0.0000 0.0000
0.7500 0.7500 0.7500
0.2500 0.2500 0.2500
0.5000 0.5000 0.5000
```

## Properties
The theoretical density is 4.7 g cm⁻³. The value obtained for the electronic total energy is -4.06 eV/atom. As for the space-group type: Fm-3m. Its raw formation energy is 1667.1 meV/atom. The value obtained for the volume is 53.21 Å³ per cell.

Record 11
The following is a DFT calculation (GGA-PBE) of a relaxed structure of Cs4Rb5Au2.

POSCAR file:
```
Cs4Rb5Au2
1.0
-0.4614 1.3264 -4.7150
0.5162 -12.1084 -3.4569
-13.2696 0.3429 1.3951
Rb Au Cs
5 2 4
direct
0.0000 0.8533 0.8475
0.0000 0.5050 0.3324
0.0000 0.1467 0.1525
0.0000 0.5000 0.0000
0.0000 0.4950 0.6676
0.0000 0.9708 0.3856
0.0000 0.0292 0.6144
0.5000 0.1704 0.4656
0.5000 0.1634 0.7962
0.5000 0.8366 0.2038
0.5000 0.8296 0.5344
```

## Properties
The theoretical density is 2.7 g cm⁻³. The energy of formation is -0.114 eV/atom. The value obtained for the electronic total energy is -1.46 eV/atom. As for the space-group type: P2/m. The value obtained for the volume is 823.88 Å³ per cell.

Record 12
The following is a DFT calculation (GGA-PBE) of a relaxed structure of Tb6Nd2Tm3.

POSCAR file:
```
Tb6Nd2Tm3
1.0
-0.3791 1.9295 4.3050
-2.4313 -3.7810 1.4806
15.6273 -6.4370 1.6594
Tb Nd Tm
6 2 3
direct
0.8774 0.3774 0.7549
0.3774 0.8774 0.7549
0.1226 0.6226 0.2451
0.3027 0.3027 0.6054
0.6226 0.1226 0.2451
0.6973 0.6973 0.3946
0.4539 0.4539 0.9079
0.5461 0.5461 0.0921
0.7998 0.7998 0.5996
0.0000 0.0000 0.0000
0.2002 0.2002 0.4004
```

## Properties
The theoretical density is 7.8 g cm⁻³. The energy of formation is 0.278 eV/atom. The value obtained for the electronic total energy is -4.33 eV/atom. As for the space-group type: I4/mmm. The value obtained for the volume is 372.94 Å³ per cell.

- Among the records above, which one has the lowest volume?
  TiB2Br